Below is a geometry-optimized CdTc2F4 structure, with properties calculated at the GGA-PBE level.

Cell and atoms, written as POSCAR:
```
CdTc2F4
1.0
4.6793 0.0000 0.0000
0.0000 4.6793 0.0000
2.3396 2.3396 5.8504
F Tc Cd
4 2 1
Direct
0.8063 0.8063 0.3875 F
0.1937 0.1937 0.6125 F
0.0000 0.5000 0.0000 F
0.5000 0.0000 0.0000 F
0.6194 0.6194 0.7613 Tc
0.3806 0.3806 0.2387 Tc
0.0000 0.0000 0.0000 Cd
```

Uncorrected formation energy = -0.5473 eV/atom
Total magnetic moment = 9.028 μB per cell
Raw total energy = -32.96 eV/cell